Here is an optimized crystal structure of Li2AgHg from the Alexandria database. Energies are from PBE-GGA.

Its theoretical density is 7.44 g/cm3. For the calculated total energy, the calculation gives -1.95 eV/atom. The density of states at the Fermi level is 1.25 states/eV/f.u. As for the energy of formation from the pure elements: -0.209 eV per atom.

The space group is Pmm2 (No. 25) and the conventional cell measures 2.999, 4.124 and 5.814 Å, with angles of 90.00, 90.00 and 90.00 degrees. Symmetry generates all atoms from Li at (0.000, 0.000, 0.000), Li at (0.500, 0.500, 0.281), Ag at (0.000, 0.000, 0.485) and Hg at (0.500, 0.500, 0.784).

Here is an optimized crystal structure of Rb3Be2H8 from the Alexandria database. Energies are from PBE-GGA.

Its theoretical density is 2.36 g/cm3. For the calculated total energy, the calculation gives -2.92 eV/atom. The density of states at the Fermi level is 2.17 states/eV/f.u.

The space group is R-3m (No. 166, hexagonal axes) and the conventional cell measures 5.7338, 5.7338 and 20.9571 Å, with angles of 90.00, 90.00 and 120.00 degrees. Symmetry generates all atoms from Rb at (0.0000, 0.0000, 0.0000), Rb at (0.0000, 0.0000, 0.2145), Be at (0.0000, 0.0000, 0.4283), H at (0.0000, 0.0000, 0.3568) and H at (0.0459, 0.5229, 0.2282).

Here is an optimized crystal structure of NbBiW3 from the Alexandria database. Energies are from PBE-GGA.

Its theoretical density is 12.26 g/cm3. For the calculated total energy, the calculation gives -8.44 eV/atom. The density of states at the Fermi level is 6.08 states/eV/f.u. As for the energy of formation from the pure elements: 2.126 eV per atom.

The space group is Pm-3m (No. 221) and the conventional cell measures 4.871, 4.871 and 4.871 Å, with angles of 90.00, 90.00 and 90.00 degrees. Symmetry generates all atoms from Nb at (0.000, 0.000, 0.000), Bi at (0.500, 0.500, 0.500) and W at (0.000, 0.000, 0.500).